No. 1
# LiLa2AlH, optimized geometry, DFT GGA-PBE
# V (Å³/f.u.): 109.2
# Total energy (eV/atom): -4.116
# Relative energy among the computed polymorphs (eV/f.u.): 0.000
data_LiLa2AlH
_space_group_name_H-M_alt 'P 4/m m m'
_space_group_IT_number 123
_space_group_name_Hall '-P 4 2'
_cell_length_a 5.246
_cell_length_b 5.246
_cell_length_c 3.968
_cell_angle_alpha 90.00
_cell_angle_beta 90.00
_cell_angle_gamma 90.00
loop_
_atom_site_label
_atom_site_fract_x
_atom_site_fract_y
_atom_site_fract_z
Li1 0.000 0.000 0.000
La1 0.000 0.500 0.500
Al1 0.500 0.500 0.000
H1 0.000 0.000 0.500

---

No. 2
# Li2LaAlH, optimized geometry, DFT GGA-PBE
# V (Å³/f.u.): 98.2
# Total energy (eV/atom): -3.332
data_Li2LaAlH
_space_group_name_H-M_alt 'P 4/m m m'
_space_group_IT_number 123
_space_group_name_Hall '-P 4 2'
_cell_length_a 4.459
_cell_length_b 4.459
_cell_length_c 4.937
_cell_angle_alpha 90.00
_cell_angle_beta 90.00
_cell_angle_gamma 90.00
loop_
_atom_site_label
_atom_site_fract_x
_atom_site_fract_y
_atom_site_fract_z
Li1 0.000 0.500 0.000
La1 0.000 0.000 0.500
Al1 0.500 0.500 0.500
H1 0.000 0.000 0.000

---

No. 3
# LaMn2AlH8, optimized geometry, DFT GGA-PBE
# V (Å³/f.u.): 98.9
# Total energy (eV/atom): -4.655
data_LaMn2AlH8
_space_group_name_H-M_alt 'R -3'
_space_group_IT_number 148
_space_group_name_Hall '-R 3'
_cell_length_a 4.4777
_cell_length_b 4.4777
_cell_length_c 17.0904
_cell_angle_alpha 90.00
_cell_angle_beta 90.00
_cell_angle_gamma 120.00
loop_
_atom_site_label
_atom_site_fract_x
_atom_site_fract_y
_atom_site_fract_z
La1 0.0000 0.0000 0.0000
Mn1 0.0000 0.0000 0.1955
Al1 0.0000 0.0000 0.5000
H1 0.0000 0.0000 0.2932
H2 0.0115 0.7326 0.8819

---

No. 4
# LaAl2HN, optimized geometry, DFT GGA-PBE
# V (Å³/f.u.): 85.6
# Total energy (eV/atom): -4.867
data_LaAl2HN
_space_group_name_H-M_alt 'P 4/m m m'
_space_group_IT_number 123
_space_group_name_Hall '-P 4 2'
_cell_length_a 3.769
_cell_length_b 3.769
_cell_length_c 6.027
_cell_angle_alpha 90.00
_cell_angle_beta 90.00
_cell_angle_gamma 90.00
loop_
_atom_site_label
_atom_site_fract_x
_atom_site_fract_y
_atom_site_fract_z
La1 0.000 0.000 0.000
Al1 0.000 0.500 0.500
H1 0.500 0.500 0.000
N1 0.500 0.500 0.500